The following is a DFT calculation (PBE) of a geometry-optimized ThPaBe2Si2 structure.

## Properties
The uncorrected energy comes out at -38.61 eV per cell. The uncorrected formation energy is -0.566 eV/atom. Its space group is P-3m1, No. 164.

Lattice parameters (Å, degrees): 3.8650 3.8650 8.3923 90.00 90.00 120.00
Fractional positions:
Th1 0.0000 0.0000 0.0000
Pa1 0.0000 0.0000 0.5000
Be1 0.3333 0.6667 0.2649
Be2 0.6667 0.3333 0.7351
Si1 0.3333 0.6667 0.7414
Si2 0.6667 0.3333 0.2586